# 1
A geometry-optimized Cs6H2Au3 structure, computed with PBE.

Lattice parameters (Å, degrees): 15.0599 15.0599 15.0599 157.62 157.62 31.86
Last column: nearest neighbours and their distance in Å.
Sites, in units of the cell vectors:
Cs (0.0822, 0.5822, 0.5000)  2 H 2.98
Cs (0.2029, 0.2029, 0.0000)  1 H 2.94
Cs (0.4178, 0.9178, 0.5000)  2 H 2.98
Cs (0.5822, 0.0822, 0.5000)  2 H 2.98
Cs (0.7971, 0.7971, 0.0000)  1 H 2.94
Cs (0.9178, 0.4178, 0.5000)  2 H 2.98
H (0.1015, 0.1015, 0.0000)  5 Cs 2.94-2.98
H (0.8985, 0.8985, 0.0000)  5 Cs 2.94-2.98
Au (0.3318, 0.3318, 0.0000)  5 Cs 3.73-3.84
Au (0.5000, 0.5000, 0.0000)  8 Cs 3.77
Au (0.6682, 0.6682, 0.0000)  5 Cs 3.73-3.84

The calculation puts the theoretical density at 4.67 g cm⁻³. For the density of states at the Fermi level, the calculation gives 5.28 states/eV/cell. Its crystal system is tetragonal. The calculation puts the total magnetization at 0.00 μB/cell.

=====

# 2
A geometry-optimized PmRe3Si2 structure, computed with PBE.

Lattice parameters (Å, degrees): 7.7541 7.7541 7.7541 149.53 117.05 71.54
Last column: nearest neighbours and their distance in Å.
Sites, in units of the cell vectors:
Pm (0.1240, 0.1240, 0.0000)  2 Re 2.86, 6 Si 3.05-3.15, 1 Pm 3.12
Pm (0.8760, 0.8760, 0.0000)  2 Re 2.86, 6 Si 3.05-3.15, 1 Pm 3.12
Re (0.1044, 0.3092, 0.7952)  3 Si 2.51-2.63, 2 Re 2.63
Re (0.3533, 0.0000, 0.3533)  1 Re 2.38, 4 Si 2.38-2.61
Re (0.4859, 0.6908, 0.7952)  3 Si 2.51-2.63, 2 Re 2.63
Re (0.5141, 0.3092, 0.2048)  3 Si 2.51-2.63, 2 Re 2.63
Re (0.6467, 0.0000, 0.6467)  1 Re 2.38, 4 Si 2.38-2.61
Re (0.8956, 0.6908, 0.2048)  3 Si 2.51-2.63, 2 Re 2.63
Si (0.2026, 0.5000, 0.7026)  4 Re 2.38-2.51
Si (0.3151, 0.8151, 0.5000)  8 Re 2.61-2.86
Si (0.6849, 0.1849, 0.5000)  8 Re 2.61-2.86
Si (0.7974, 0.5000, 0.2974)  4 Re 2.38-2.51

The calculation puts the theoretical density at 12.15 g cm⁻³. For the density of states at the Fermi level, the calculation gives 6.57 states/eV/cell. Its crystal system is orthorhombic. The calculation puts the total magnetization at 0.00 μB/cell. The energy above the lowest structure with this stoichiometry comes out at 355 meV/atom. The energy relative to the elements, uncorrected is -0.010 eV per atom.

=====

# 3
A geometry-optimized GaCuSi structure, computed with PBE.

Lattice parameters (Å, degrees): 5.8462 2.6452 6.0514 90.00 93.24 90.00
Last column: nearest neighbours and their distance in Å.
Sites, in units of the cell vectors:
Ga (0.0000, 0.0000, 0.0000)  2 Cu 2.50, 2 Si 2.50-2.68, 2 Ga 2.65
Ga (0.4409, 0.0000, 0.7836)  1 Si 2.61, 4 Cu 2.62-2.64, 2 Ga 2.65
Cu (0.1952, 0.5000, 0.4758)  4 Si 2.48-2.64, 2 Ga 2.64, 3 Cu 2.65-2.67
Cu (0.8099, 0.5000, 0.6914)  2 Si 2.39, 4 Ga 2.50-2.62, 3 Cu 2.65-2.67
Si (0.4148, 0.0000, 0.2133)  3 Si 2.46-2.65, 2 Cu 2.48, 2 Ga 2.61-2.68
Si (0.8153, 0.0000, 0.3628)  4 Cu 2.39-2.64, 3 Si 2.46-2.65, 1 Ga 2.50

The calculation puts the theoretical density at 5.74 g cm⁻³. For the density of states at the Fermi level, the calculation gives 1.77 states/eV/cell. Its crystal system is monoclinic. The calculation puts the total magnetization at 0.00 μB/cell. The energy relative to the elements, uncorrected is 0.086 eV per atom.

=====

# 4
A geometry-optimized Ac3Pm2Y8 structure, computed with PBE.

Lattice parameters (Å, degrees): 11.1015 11.1015 5.7891 90.19 90.19 42.70
Last column: nearest neighbours and their distance in Å.
Sites, in units of the cell vectors:
Ac (0.0000, 0.0000, 0.0000)  4 Y 3.35, 4 Ac 3.72
Ac (0.2897, 0.7103, 0.5000)  3 Ac 3.40-3.72, 6 Y 3.68-3.73
Ac (0.7103, 0.2897, 0.5000)  3 Ac 3.40-3.72, 6 Y 3.68-3.73
Pm (0.2396, 0.2396, 0.9946)  8 Y 3.39-3.61
Pm (0.7604, 0.7604, 0.0054)  8 Y 3.39-3.61
Y (0.1372, 0.1372, 0.4979)  2 Pm 3.57-3.61, 2 Ac 3.68, 5 Y 3.77-3.88
Y (0.1832, 0.5899, 0.9984)  3 Y 3.29-3.57, 1 Ac 3.35, 2 Pm 3.45-3.54
Y (0.3247, 0.3247, 0.4958)  2 Pm 3.39, 4 Y 3.56-3.57
Y (0.4101, 0.8168, 0.0016)  3 Y 3.29-3.57, 1 Ac 3.35, 2 Pm 3.45-3.54
Y (0.5899, 0.1832, 0.9984)  3 Y 3.29-3.57, 1 Ac 3.35, 2 Pm 3.45-3.54
Y (0.6753, 0.6753, 0.5042)  2 Pm 3.39, 4 Y 3.56-3.57
Y (0.8168, 0.4101, 0.0016)  3 Y 3.29-3.57, 1 Ac 3.35, 2 Pm 3.45-3.54
Y (0.8628, 0.8628, 0.5021)  2 Pm 3.57-3.61, 2 Ac 3.68, 5 Y 3.77-3.88

The calculation puts the theoretical density at 5.77 g cm⁻³. For the density of states at the Fermi level, the calculation gives 25.51 states/eV/cell. Its crystal system is monoclinic. The calculation puts the total magnetization at 0.00 μB/cell. The formation enthalpy at 0 K is 0.295 eV/atom. The energy above the lowest structure with this stoichiometry comes out at 103 meV/atom.

=====

| no. | electronic total energy (Ry/atom) |
| --- | --- |
| 1 | -0.1608 |
| 2 | -0.6493 |
| 3 | -0.3011 |
| 4 | -0.3941 |